No. 1
# Ce4Te2SeN2 (PBE, relaxed)
# - crystal system = monoclinic
# - raw formation energy (eV per atom) = -1.597
# - E_tot (eV per cell) = -129.058
data_Ce4Te2SeN2
_symmetry_space_group_name_H-M 'C 1 2/m 1'
_symmetry_Int_Tables_number 12
_symmetry_space_group_name_Hall '-C 2y'
_cell_length_a 15.683
_cell_length_b 4.058
_cell_length_c 7.605
_cell_angle_alpha 90.00
_cell_angle_beta 111.37
_cell_angle_gamma 90.00
loop_
_atom_site_label
_atom_site_type_symbol
_atom_site_fract_x
_atom_site_fract_y
_atom_site_fract_z
_atom_site_occupancy
Ce1 Ce 0.037 0.000 0.259 1
Ce2 Ce 0.212 0.500 0.654 1
Te1 Te 0.132 0.500 0.036 1
Se1 Se 0.000 0.500 0.500 1
N1 N 0.177 0.000 0.478 1

No. 2
# PrYNp2S4 (PBE, relaxed)
# - crystal system = monoclinic
# - raw formation energy (eV per atom) = -1.689
# - E_tot (eV per cell) = -67.148
data_PrYNp2S4
_symmetry_space_group_name_H-M 'P 1 2/m 1'
_symmetry_Int_Tables_number 10
_symmetry_space_group_name_Hall '-P 2y'
_cell_length_a 6.841
_cell_length_b 3.959
_cell_length_c 6.888
_cell_angle_alpha 90.00
_cell_angle_beta 109.41
_cell_angle_gamma 90.00
loop_
_atom_site_label
_atom_site_type_symbol
_atom_site_fract_x
_atom_site_fract_y
_atom_site_fract_z
_atom_site_occupancy
Pr1 Pr 0.000 0.000 0.000 1
Y1 Y 0.000 0.500 0.500 1
Np1 Np 0.500 0.000 0.500 1
Np2 Np 0.500 0.500 0.000 1
S1 S 0.256 0.000 0.745 1
S2 S 0.262 0.500 0.261 1

No. 3
# LiSmPd (PBE, relaxed)
# - crystal system = cubic
# - E_form (eV per formula unit) = -1.14
# - energy above the most stable polymorph in this dataset (meV per atom) = 189
# - E_tot (eV per cell) = -51.843
data_LiSmPd
_symmetry_space_group_name_H-M 'F -4 3 m'
_symmetry_Int_Tables_number 216
_symmetry_space_group_name_Hall 'F -4 2 3'
_cell_length_a 6.655
_cell_length_b 6.655
_cell_length_c 6.655
_cell_angle_alpha 90.00
_cell_angle_beta 90.00
_cell_angle_gamma 90.00
loop_
_atom_site_label
_atom_site_type_symbol
_atom_site_fract_x
_atom_site_fract_y
_atom_site_fract_z
_atom_site_occupancy
Li1 Li 0.000 0.000 0.000 1
Sm1 Sm 0.000 0.000 0.500 1
Pd1 Pd 0.250 0.250 0.750 1

No. 4
# LiAsIr2N (PBE, relaxed)
# - crystal system = tetragonal
# - raw formation energy (eV per atom) = 1.908
# - E_tot (eV per cell) = -23.069
data_LiAsIr2N
_symmetry_space_group_name_H-M 'P 4/m m m'
_symmetry_Int_Tables_number 123
_symmetry_space_group_name_Hall '-P 4 2'
_cell_length_a 4.197
_cell_length_b 4.197
_cell_length_c 3.964
_cell_angle_alpha 90.00
_cell_angle_beta 90.00
_cell_angle_gamma 90.00
loop_
_atom_site_label
_atom_site_type_symbol
_atom_site_fract_x
_atom_site_fract_y
_atom_site_fract_z
_atom_site_occupancy
Li1 Li 0.000 0.000 0.000 1
As1 As 0.000 0.000 0.500 1
Ir1 Ir 0.000 0.500 0.000 1
N1 N 0.500 0.500 0.500 1

No. 5
# LiAc2Pd3Pb4 (PBE, relaxed)
# - crystal system = tetragonal
# - E_form (eV per formula unit) = -5.29
# - E_tot (eV per cell) = -45.829
data_LiAc2Pd3Pb4
_symmetry_space_group_name_H-M 'P -4 m 2'
_symmetry_Int_Tables_number 115
_symmetry_space_group_name_Hall 'P -4 -2'
_cell_length_a 4.758
_cell_length_b 4.758
_cell_length_c 11.359
_cell_angle_alpha 90.00
_cell_angle_beta 90.00
_cell_angle_gamma 90.00
loop_
_atom_site_label
_atom_site_type_symbol
_atom_site_fract_x
_atom_site_fract_y
_atom_site_fract_z
_atom_site_occupancy
Li1 Li 0.000 0.000 0.000 1
Ac1 Ac 0.000 0.500 0.758 1
Pd1 Pd 0.000 0.500 0.364 1
Pd2 Pd 0.500 0.500 0.000 1
Pb1 Pb 0.000 0.000 0.500 1
Pb2 Pb 0.000 0.500 0.125 1
Pb3 Pb 0.500 0.500 0.500 1

No. 6
# BaBe2P (PBE, relaxed)
# - crystal system = orthorhombic
# - E_form (eV per formula unit) = 1.03
# - E_tot (eV per cell) = -13.756
data_BaBe2P
_symmetry_space_group_name_H-M 'P m m 2'
_symmetry_Int_Tables_number 25
_symmetry_space_group_name_Hall 'P 2 -2'
_cell_length_a 3.300
_cell_length_b 3.343
_cell_length_c 6.830
_cell_angle_alpha 90.00
_cell_angle_beta 90.00
_cell_angle_gamma 90.00
loop_
_atom_site_label
_atom_site_type_symbol
_atom_site_fract_x
_atom_site_fract_y
_atom_site_fract_z
_atom_site_occupancy
Ba1 Ba 0.000 0.000 0.000 1
Be1 Be 0.000 0.000 0.519 1
Be2 Be 0.500 0.500 0.355 1
P1 P 0.500 0.500 0.654 1

No. 7
# RbUNi2Cl8 (PBE, relaxed)
# - crystal system = trigonal
# - raw formation energy (eV per atom) = -1.172
# - E_tot (eV per cell) = -157.984
data_RbUNi2Cl8
_symmetry_space_group_name_H-M 'R -3'
_symmetry_Int_Tables_number 148
_symmetry_space_group_name_Hall '-R 3'
_cell_length_a 6.3583
_cell_length_b 6.3583
_cell_length_c 31.1188
_cell_angle_alpha 90.00
_cell_angle_beta 90.00
_cell_angle_gamma 120.00
loop_
_atom_site_label
_atom_site_type_symbol
_atom_site_fract_x
_atom_site_fract_y
_atom_site_fract_z
_atom_site_occupancy
Rb1 Rb 0.0000 0.0000 0.0000 1
U1 U 0.0000 0.0000 0.5000 1
Ni1 Ni 0.0000 0.0000 0.2491 1
Cl1 Cl 0.0000 0.0000 0.3187 1
Cl2 Cl 0.0038 0.6595 0.8832 1

No. 8
# Sm2SiSnPt6 (PBE, relaxed)
# - crystal system = orthorhombic
# - raw formation energy (eV per atom) = -0.885
# - E_tot (eV per cell) = -127.925
data_Sm2SiSnPt6
_symmetry_space_group_name_H-M 'P m m n'
_symmetry_Int_Tables_number 59
_cell_length_a 5.573
_cell_length_b 8.648
_cell_length_c 8.615
_cell_angle_alpha 90.00
_cell_angle_beta 90.00
_cell_angle_gamma 90.00
loop_
_symmetry_equiv_pos_as_xyz
'x,y,z'
'-x,-y,-z'
'-x+1/2,-y+1/2,z'
'x+1/2,y+1/2,-z'
'x+1/2,-y,-z'
'-x+1/2,y,z'
'-x,y+1/2,-z'
'x,-y+1/2,z'
loop_
_atom_site_label
_atom_site_type_symbol
_atom_site_fract_x
_atom_site_fract_y
_atom_site_fract_z
_atom_site_occupancy
Sm1 Sm 0.250 0.007 0.237 1
Si1 Si 0.250 0.750 0.737 1
Sn1 Sn 0.250 0.250 0.783 1
Pt1 Pt 0.001 0.250 0.501 1
Pt2 Pt 0.004 0.750 0.961 1
Pt3 Pt 0.250 0.502 0.606 1

No. 9
# ScHPd3 (PBE, relaxed)
# - crystal system = orthorhombic
# - energy above the most stable polymorph in this dataset (meV per atom) = 274
# - E_tot (eV per cell) = -109.561
data_ScHPd3
_symmetry_space_group_name_H-M 'P n m a'
_symmetry_Int_Tables_number 62
_symmetry_space_group_name_Hall '-P 2ac 2n'
_cell_length_a 5.111
_cell_length_b 7.537
_cell_length_c 7.675
_cell_angle_alpha 90.00
_cell_angle_beta 90.00
_cell_angle_gamma 90.00
loop_
_atom_site_label
_atom_site_type_symbol
_atom_site_fract_x
_atom_site_fract_y
_atom_site_fract_z
_atom_site_occupancy
Sc1 Sc 0.000 0.000 0.000 1
H1 H 0.225 0.250 0.446 1
Pd1 Pd 0.030 0.074 0.340 1
Pd2 Pd 0.215 0.250 0.697 1

No. 10
# ErZrNiPt (PBE, relaxed)
# - crystal system = cubic
# - E_form (eV per formula unit) = -2.86
# - E_tot (eV per cell) = -111.181
data_ErZrNiPt
_symmetry_space_group_name_H-M 'F -4 3 m'
_symmetry_Int_Tables_number 216
_symmetry_space_group_name_Hall 'F -4 2 3'
_cell_length_a 6.704
_cell_length_b 6.704
_cell_length_c 6.704
_cell_angle_alpha 90.00
_cell_angle_beta 90.00
_cell_angle_gamma 90.00
loop_
_atom_site_label
_atom_site_type_symbol
_atom_site_fract_x
_atom_site_fract_y
_atom_site_fract_z
_atom_site_occupancy
Er1 Er 0.000 0.000 0.000 1
Zr1 Zr 0.000 0.000 0.500 1
Ni1 Ni 0.250 0.250 0.250 1
Pt1 Pt 0.250 0.250 0.750 1

No. 11
# CrSnGeW2 (PBE, relaxed)
# - crystal system = tetragonal
# - E_form (eV per formula unit) = 10.59
# - E_tot (eV per cell) = -33.555
data_CrSnGeW2
_symmetry_space_group_name_H-M 'P 4/m m m'
_symmetry_Int_Tables_number 123
_symmetry_space_group_name_Hall '-P 4 2'
_cell_length_a 4.613
_cell_length_b 4.613
_cell_length_c 5.008
_cell_angle_alpha 90.00
_cell_angle_beta 90.00
_cell_angle_gamma 90.00
loop_
_atom_site_label
_atom_site_type_symbol
_atom_site_fract_x
_atom_site_fract_y
_atom_site_fract_z
_atom_site_occupancy
Cr1 Cr 0.000 0.000 0.000 1
Sn1 Sn 0.500 0.500 0.000 1
Ge1 Ge 0.500 0.500 0.500 1
W1 W 0.000 0.500 0.500 1

No. 12
# MnTe2Rh (PBE, relaxed)
# - crystal system = trigonal
# - raw formation energy (eV per atom) = 0.239
# - E_tot (eV per cell) = -65.543
data_MnTe2Rh
_symmetry_space_group_name_H-M 'R -3 m'
_symmetry_Int_Tables_number 166
_symmetry_space_group_name_Hall '-R 3 2"'
_cell_length_a 3.4873
_cell_length_b 3.4873
_cell_length_c 25.2574
_cell_angle_alpha 90.00
_cell_angle_beta 90.00
_cell_angle_gamma 120.00
loop_
_atom_site_label
_atom_site_type_symbol
_atom_site_fract_x
_atom_site_fract_y
_atom_site_fract_z
_atom_site_occupancy
Mn1 Mn 0.0000 0.0000 0.0000 1
Te1 Te 0.0000 0.0000 0.3997 1
Rh1 Rh 0.0000 0.0000 0.5000 1